1.
The following is a DFT calculation (PBE-GGA) of a relaxed GdTlGa4 crystal.

Values from the calculation:
Space group = F-43m
Calculated total energy = -4.9779 eV/atom

Cell lengths 5.659, 5.659, 5.659 Å; angles 60.00, 60.00, 60.00 degrees
Atoms (fractional coordinates):
Gd 0.000 0.000 0.000
Tl 0.250 0.250 0.250
Ga 0.124 0.625 0.625
Ga 0.625 0.124 0.625
Ga 0.625 0.625 0.124
Ga 0.625 0.625 0.625

---

2.
The following is a DFT calculation (PBE-GGA) of a relaxed LaDy2Cu3 crystal.

Values from the calculation:
Space group = P4/mmm
Calculated total energy = -4.6175 eV/atom

Cell lengths 3.508, 3.508, 10.687 Å; angles 90.00, 90.00, 90.00 degrees
Atoms (fractional coordinates):
La 0.000 0.000 0.000
Dy 0.000 0.000 0.339
Dy 0.000 0.000 0.661
Cu 0.500 0.500 0.188
Cu 0.500 0.500 0.500
Cu 0.500 0.500 0.812

---

3.
The following is a DFT calculation (PBE-GGA) of a relaxed MoOs crystal.

Values from the calculation:
Space group = P4/nmm
Calculated total energy = -10.7076 eV/atom

Cell lengths 3.226, 3.226, 5.940 Å; angles 90.00, 90.00, 90.00 degrees
Atoms (fractional coordinates):
Mo 0.250 0.250 0.141
Mo 0.750 0.750 0.859
Os 0.250 0.250 0.645
Os 0.750 0.750 0.355

---

4.
The following is a DFT calculation (PBE-GGA) of a relaxed CuRhAu2 crystal.

Values from the calculation:
Space group = Imm2
Energy above the most stable polymorph in this dataset = 0.046 eV/atom
Calculated total energy = -4.3920 eV/atom

Cell lengths 5.465, 5.465, 5.465 Å; angles 150.04, 128.71, 60.55 degrees
Atoms (fractional coordinates):
Cu 0.000 0.000 0.000
Rh 0.232 0.732 0.500
Au 0.490 0.490 0.000
Au 0.758 0.258 0.500

---

5.
The following is a DFT calculation (PBE-GGA) of a relaxed NaLa2P3Pt12 crystal.

Values from the calculation:
Space group = R-3m
Calculated total energy = -5.9695 eV/atom

Cell lengths 7.490, 7.490, 7.490 Å; angles 68.96, 68.96, 68.96 degrees
Atoms (fractional coordinates):
Na 0.000 0.000 0.000
La 0.389 0.389 0.389
La 0.611 0.611 0.611
P 0.000 0.000 0.500
P 0.000 0.500 0.000
P 0.500 0.000 0.000
Pt 0.103 0.666 0.666
Pt 0.137 0.137 0.624
Pt 0.137 0.624 0.137
Pt 0.334 0.334 0.897
Pt 0.334 0.897 0.334
Pt 0.376 0.863 0.863
Pt 0.624 0.137 0.137
Pt 0.666 0.103 0.666
Pt 0.666 0.666 0.103
Pt 0.863 0.376 0.863
Pt 0.863 0.863 0.376
Pt 0.897 0.334 0.334

---

6.
The following is a DFT calculation (PBE-GGA) of a relaxed Pa2MnFe3 crystal.

Values from the calculation:
Space group = P6_3/mmc
Calculated total energy = -9.0791 eV/atom

Cell lengths 5.133, 5.133, 7.811 Å; angles 90.00, 90.00, 120.00 degrees
Atoms (fractional coordinates):
Pa 0.333 0.667 0.065
Pa 0.333 0.667 0.435
Pa 0.667 0.333 0.565
Pa 0.667 0.333 0.935
Mn 0.000 0.000 0.000
Mn 0.000 0.000 0.500
Fe 0.166 0.331 0.750
Fe 0.166 0.834 0.750
Fe 0.331 0.166 0.250
Fe 0.669 0.834 0.750
Fe 0.834 0.166 0.250
Fe 0.834 0.669 0.250

---

7.
The following is a DFT calculation (PBE-GGA) of a relaxed SrSmMgHg crystal.

Values from the calculation:
Space group = P4mm
Energy above the most stable polymorph in this dataset = 0.000 eV/atom
Calculated total energy = -2.3560 eV/atom

Cell lengths 3.950, 3.950, 7.893 Å; angles 90.00, 90.00, 90.00 degrees
Atoms (fractional coordinates):
Sr 0.000 0.000 0.000
Sm 0.000 0.000 0.479
Mg 0.500 0.500 0.712
Hg 0.500 0.500 0.271

---

8.
The following is a DFT calculation (PBE-GGA) of a relaxed Mg2TiCl crystal.

Values from the calculation:
Formation energy from raw total energies = 8.83 kcal/mol of atoms
Space group = Fm-3m
Energy above the most stable polymorph in this dataset = 0.315 eV/atom
Calculated total energy = -2.8498 eV/atom

Cell lengths 5.134, 5.134, 5.134 Å; angles 60.00, 60.00, 60.00 degrees
Atoms (fractional coordinates):
Mg 0.250 0.250 0.250
Mg 0.750 0.750 0.750
Ti 0.000 0.000 0.000
Cl 0.500 0.500 0.500